# 1
## MnAl2AsS (GGA-PBE)

Data for a relaxed MnAl2AsS crystal.

Lattice parameters (Å, degrees): 4.843 4.004 4.843 90.00 90.00 90.00
Site moments in Bohr magnetons follow the coordinates.
Atoms (fractional coordinates):
As: 0.500 0.500 0.500  0.30
Al: 0.500 0.000 0.000  -0.01
Al: 0.000 0.000 0.500  -0.02
Mn: 0.000 0.000 0.000  0.95
S: 0.000 0.500 0.000  0.01

symmetry: P4/mmm (123)
energy above the most stable polymorph in this dataset: 0.0321 eV/atom


# 2
## MnAl2AsS (GGA-PBE)

Data for a relaxed MnAl2AsS crystal.

Lattice parameters (Å, degrees): 4.769 4.303 4.769 90.00 90.00 90.00
Site moments in Bohr magnetons follow the coordinates.
Atoms (fractional coordinates):
Al: 0.000 0.000 0.500  0.02
Al: 0.500 0.000 0.000  0.01
As: 0.000 0.500 0.000  -0.05
S: 0.500 0.500 0.500  0.28
Mn: 0.000 0.000 0.000  1.11

symmetry: P4/mmm (123)
energy above the most stable polymorph in this dataset: 0.0000 eV/atom


# 3
## Mn2AlAsSe (GGA-PBE)

Data for a relaxed Mn2AlAsSe crystal.

Lattice parameters (Å, degrees): 4.364 5.103 4.364 90.00 90.00 90.00
Site moments in Bohr magnetons follow the coordinates.
Atoms (fractional coordinates):
Mn: 0.000 0.000 0.500  -0.35
Mn: 0.500 0.000 0.000  -0.45
Al: 0.500 0.500 0.500  -0.02
Se: 0.000 0.000 0.000  0.02
As: 0.000 0.500 0.000  0.02

DFT total energy: -4.9294 eV/atom
symmetry: P4/mmm (123)


# 4
## MnAl2AsSe (GGA-PBE)

Data for a relaxed MnAl2AsSe crystal.

Lattice parameters (Å, degrees): 4.815 4.275 4.815 90.00 90.00 90.00
Site moments in Bohr magnetons follow the coordinates.
Atoms (fractional coordinates):
As: 0.500 0.500 0.500  0.27
Al: 0.500 0.000 0.000  -0.01
Al: 0.000 0.000 0.500  -0.02
Mn: 0.000 0.000 0.000  0.97
Se: 0.000 0.500 0.000  -0.01

DFT total energy: -4.5557 eV/atom
symmetry: P4/mmm (123)


# 5
## Mn2AlTcAs (GGA-PBE)

Data for a relaxed Mn2AlTcAs crystal.

Lattice parameters (Å, degrees): 4.542 4.684 4.542 90.00 90.00 90.00
Site moments in Bohr magnetons follow the coordinates.
Atoms (fractional coordinates):
Mn: 0.000 0.000 0.500  3.49
Mn: 0.500 0.000 0.000  3.41
Al: 0.000 0.000 0.000  -0.07
As: 0.000 0.500 0.000  0.01
Tc: 0.500 0.500 0.500  2.54

symmetry: P4/mmm (123)
energy of formation from the pure elements: 1.3527 eV/atom


# 6
## MnAlVAs2 (GGA-PBE)

Data for a relaxed MnAlVAs2 crystal.

Lattice parameters (Å, degrees): 4.838 4.734 4.838 90.00 90.00 90.00
Site moments in Bohr magnetons follow the coordinates.
Atoms (fractional coordinates):
As: 0.000 0.000 0.500  -0.14
As: 0.500 0.000 0.000  -0.14
Al: 0.000 0.000 0.000  0.00
Mn: 0.500 0.500 0.500  4.29
V: 0.000 0.500 0.000  2.39

symmetry: P4/mmm (123)
energy of formation from the pure elements: 1.0271 eV/atom


# 7
## ZrMn2AlAs (GGA-PBE)

Data for a relaxed ZrMn2AlAs crystal.

Lattice parameters (Å, degrees): 4.342 4.934 4.342 90.00 90.00 90.00
Atoms (fractional coordinates):
Mn: 0.500 0.000 0.000
Mn: 0.000 0.000 0.500
Zr: 0.000 0.500 0.000
Al: 0.500 0.500 0.500
As: 0.000 0.000 0.000

symmetry: P4/mmm (123)
energy of formation from the pure elements: 0.6113 eV/atom
energy above the most stable polymorph in this dataset: 0.0000 eV/atom


# 8
## ZrMn2AlAs (GGA-PBE)

Data for a relaxed ZrMn2AlAs crystal.

Lattice parameters (Å, degrees): 4.982 5.087 4.982 90.00 90.00 90.00
Site moments in Bohr magnetons follow the coordinates.
Atoms (fractional coordinates):
As: 0.000 0.500 0.000  0.12
Zr: 0.000 0.000 0.000  -0.56
Al: 0.500 0.500 0.500  0.02
Mn: 0.000 0.000 0.500  3.42
Mn: 0.500 0.000 0.000  3.84

symmetry: P4/mmm (123)
energy of formation from the pure elements: 1.0505 eV/atom
energy above the most stable polymorph in this dataset: 0.4393 eV/atom


# 9
## AlMoAs (GGA-PBE)

Data for a relaxed AlMoAs crystal.

Lattice parameters (Å, degrees): 4.229 4.229 4.229 60.00 60.00 60.00
Atoms (fractional coordinates):
Mo: 0.000 0.000 0.000
As: 0.750 0.750 0.750
Al: 0.500 0.500 0.500

symmetry: F-43m (216)
energy of formation from the pure elements: 0.3223 eV/atom
energy above the most stable polymorph in this dataset: 0.6550 eV/atom


# 10
## AlMoAs (GGA-PBE)

Data for a relaxed AlMoAs crystal.

Lattice parameters (Å, degrees): 4.283 4.283 4.283 60.00 60.00 60.00
Atoms (fractional coordinates):
Al: 0.000 0.000 0.000
Mo: 0.750 0.750 0.750
As: 0.500 0.500 0.500

symmetry: F-43m (216)
energy of formation from the pure elements: 0.3665 eV/atom
energy above the most stable polymorph in this dataset: 0.6991 eV/atom


# 11
## Al2MoAs (GGA-PBE)

Data for a relaxed Al2MoAs crystal.

Lattice parameters (Å, degrees): 4.332 4.332 3.351 90.00 90.00 90.00
Atoms (fractional coordinates):
Mo: 0.000 0.500 0.500
As: 0.500 0.000 0.500
Al: 0.500 0.500 0.000
Al: 0.000 0.000 0.000

symmetry: P4/mmm (123)
energy of formation from the pure elements: 0.0327 eV/atom


# 12
## AlMoAs (GGA-PBE)

Data for a relaxed AlMoAs crystal.

Lattice parameters (Å, degrees): 4.788 4.788 4.788 139.62 139.62 58.43
Atoms (fractional coordinates):
Al: 0.001 0.001 0.000
As: 0.325 0.325 0.000
Mo: 0.675 0.675 0.000

symmetry: I4mm (107)
energy of formation from the pure elements: -0.3326 eV/atom
energy above the most stable polymorph in this dataset: 0.0000 eV/atom


# 13
## Al2MoAs (GGA-PBE)

Data for a relaxed Al2MoAs crystal.

Lattice parameters (Å, degrees): 8.296 8.296 8.296 21.60 21.60 21.60
Atoms (fractional coordinates):
Mo: 0.754 0.754 0.754
Al: 0.003 0.003 0.003
Al: 0.247 0.247 0.247
As: 0.495 0.495 0.495

symmetry: R3m (160)
energy of formation from the pure elements: -0.0022 eV/atom


# 14
## Al2MoAs (GGA-PBE)

Data for a relaxed Al2MoAs crystal.

Lattice parameters (Å, degrees): 2.818 2.818 8.339 90.00 90.00 90.00
Atoms (fractional coordinates):
As: 0.500 0.500 0.250
Al: 0.000 0.000 0.981
Al: 0.000 0.000 0.519
Mo: 0.500 0.500 0.750

symmetry: P4/mmm (123)
energy of formation from the pure elements: 0.0670 eV/atom


# 15
## Al2MoAs (GGA-PBE)

Data for a relaxed Al2MoAs crystal.

Lattice parameters (Å, degrees): 4.901 4.901 2.790 90.00 90.00 107.43
Atoms (fractional coordinates):
Al: 0.000 0.000 0.000
Al: 0.500 0.500 0.000
Mo: 0.000 0.500 0.500
As: 0.500 0.000 0.500

symmetry: Cmmm (65)
energy of formation from the pure elements: 0.0021 eV/atom


# 16
## Al2MoAs (GGA-PBE)

Data for a relaxed Al2MoAs crystal.

Lattice parameters (Å, degrees): 3.419 4.306 4.272 90.00 90.00 90.00
Atoms (fractional coordinates):
Al: 0.000 0.000 0.000
Al: 0.500 0.500 0.000
As: 0.500 0.000 0.500
Mo: 0.000 0.500 0.500

symmetry: Pmmm (47)
energy of formation from the pure elements: 0.0998 eV/atom


# 17
## Al2MoAs (GGA-PBE)

Data for a relaxed Al2MoAs crystal.

Lattice parameters (Å, degrees): 4.162 3.226 5.202 72.25 90.00 90.00
Atoms (fractional coordinates):
Al: 0.500 0.284 0.302
Al: 0.000 0.961 0.958
Mo: 0.500 0.556 0.763
As: 0.000 0.699 0.477

symmetry: Pm (6)
energy of formation from the pure elements: -0.0640 eV/atom


# 18
## AlMoAs4 (GGA-PBE)

Data for a relaxed AlMoAs4 crystal.

Lattice parameters (Å, degrees): 5.424 5.424 5.424 60.00 60.00 60.00
Site moments in Bohr magnetons follow the coordinates.
Atoms (fractional coordinates):
As: 0.872 0.376 0.376  0.00
As: 0.376 0.376 0.376  0.00
As: 0.376 0.872 0.376  0.00
As: 0.376 0.376 0.872  0.00
Al: 0.000 0.000 0.000  0.00
Mo: 0.750 0.750 0.750  0.43

symmetry: F-43m (216)
energy of formation from the pure elements: 0.7422 eV/atom


# 19
## Al2MoAs (GGA-PBE)

Data for a relaxed Al2MoAs crystal.

Lattice parameters (Å, degrees): 4.996 4.996 4.996 140.27 126.75 68.45
Atoms (fractional coordinates):
Al: 0.747 0.247 0.500
Al: 0.997 0.997 0.000
Mo: 0.256 0.756 0.500
As: 0.501 0.501 0.000

symmetry: Imm2 (44)
energy of formation from the pure elements: -0.0390 eV/atom


# 20
## AlMo4As (GGA-PBE)

Data for a relaxed AlMo4As crystal.

Lattice parameters (Å, degrees): 5.254 5.254 5.254 60.00 60.00 60.00
Atoms (fractional coordinates):
Al: 0.750 0.750 0.750
Mo: 0.874 0.375 0.375
Mo: 0.375 0.874 0.375
Mo: 0.375 0.375 0.874
Mo: 0.375 0.375 0.375
As: 0.000 0.000 0.000

symmetry: F-43m (216)
energy of formation from the pure elements: 0.4177 eV/atom


# 21
## Al2MoAs (GGA-PBE)

Data for a relaxed Al2MoAs crystal.

Lattice parameters (Å, degrees): 3.409 3.409 5.449 90.00 90.00 90.00
Atoms (fractional coordinates):
Al: 0.000 0.000 0.993
Al: 0.500 0.500 0.250
As: 0.000 0.000 0.502
Mo: 0.500 0.500 0.754

symmetry: P4mm (99)
energy of formation from the pure elements: -0.0838 eV/atom


# 22
## Al2MoAs (GGA-PBE)

Data for a relaxed Al2MoAs crystal.

Lattice parameters (Å, degrees): 5.065 5.065 4.288 64.62 64.62 39.26
Atoms (fractional coordinates):
Mo: 0.250 0.250 0.250
Al: 0.005 0.005 0.995
Al: 0.495 0.495 0.505
As: 0.750 0.750 0.750

symmetry: C2/m (12)
energy of formation from the pure elements: -0.0206 eV/atom


# 23
## Al2MoAs (GGA-PBE)

Data for a relaxed Al2MoAs crystal.

Lattice parameters (Å, degrees): 9.123 9.123 9.123 18.38 18.38 18.38
Atoms (fractional coordinates):
Mo: 0.750 0.750 0.750
Al: 0.497 0.497 0.497
Al: 0.003 0.003 0.003
As: 0.250 0.250 0.250

symmetry: R-3m (166)
energy of formation from the pure elements: 0.0517 eV/atom


# 24
## Al2MoAs (GGA-PBE)

Data for a relaxed Al2MoAs crystal.

Lattice parameters (Å, degrees): 2.835 2.835 8.410 90.00 90.00 103.80
Atoms (fractional coordinates):
Al: 0.000 0.000 0.515
Al: 0.000 0.000 0.985
Mo: 0.500 0.500 0.750
As: 0.500 0.500 0.250

symmetry: Cmmm (65)
energy of formation from the pure elements: 0.0390 eV/atom


# 25
## Al2MoAs (GGA-PBE)

Data for a relaxed Al2MoAs crystal.

Lattice parameters (Å, degrees): 4.488 4.488 4.488 60.00 60.00 60.00
Atoms (fractional coordinates):
As: 0.500 0.500 0.500
Al: 0.000 0.000 0.000
Al: 0.250 0.250 0.250
Mo: 0.750 0.750 0.750

symmetry: F-43m (216)
energy of formation from the pure elements: 0.2513 eV/atom


# 26
## AlMoAs (GGA-PBE)

Data for a relaxed AlMoAs crystal.

Lattice parameters (Å, degrees): 3.090 3.090 6.088 90.00 90.00 120.00
Atoms (fractional coordinates):
Al: 0.000 0.000 0.988
As: 0.667 0.333 0.358
Mo: 0.333 0.667 0.654

symmetry: P3m1 (156)
energy of formation from the pure elements: -0.1216 eV/atom
energy above the most stable polymorph in this dataset: 0.2110 eV/atom


# 27
## Al2MoAs (GGA-PBE)

Data for a relaxed Al2MoAs crystal.

Lattice parameters (Å, degrees): 3.445 3.446 5.244 90.00 90.00 90.00
Atoms (fractional coordinates):
As: 0.500 0.500 0.250
Mo: 0.500 0.500 0.750
Al: 0.000 0.000 0.507
Al: 0.000 0.000 0.993

symmetry: P4/mmm (123)
energy of formation from the pure elements: -0.1517 eV/atom


# 28
## AlMoAs (GGA-PBE)

Data for a relaxed AlMoAs crystal.

Lattice parameters (Å, degrees): 4.575 4.575 2.691 90.00 90.00 120.00
Atoms (fractional coordinates):
Mo: 0.667 0.333 0.500
Al: 0.000 0.000 0.999
As: 0.333 0.667 0.501

symmetry: P-6m2 (187)
energy of formation from the pure elements: 0.1010 eV/atom
energy above the most stable polymorph in this dataset: 0.4337 eV/atom


# 29
## Al2MoAs (GGA-PBE)

Data for a relaxed Al2MoAs crystal.

Lattice parameters (Å, degrees): 7.165 7.165 5.734 51.33 51.33 90.00
Atoms (fractional coordinates):
Al: 0.605 0.125 0.250
Al: 0.375 0.395 0.750
Al: 0.145 0.625 0.250
Al: 0.875 0.855 0.750
Mo: 0.000 0.000 0.000
Mo: 0.750 0.250 0.500
As: 0.250 0.750 0.500
As: 0.500 0.500 0.000

symmetry: I-42d (122)
energy of formation from the pure elements: 0.3598 eV/atom


# 30
## AlMoAs (GGA-PBE)

Data for a relaxed AlMoAs crystal.

Lattice parameters (Å, degrees): 6.652 6.481 2.889 80.62 74.01 25.37
Atoms (fractional coordinates):
As: 0.323 0.323 0.677
Al: 0.009 0.009 0.991
Mo: 0.667 0.667 0.333

symmetry: Fmm2 (42)
energy of formation from the pure elements: 0.1582 eV/atom
energy above the most stable polymorph in this dataset: 0.4909 eV/atom